Record 1
# Nb3CrS4 PBE-GGA optimized geometry
data_Nb3CrS4
_symmetry_space_group_name_H-M 'P 1'
_symmetry_Int_Tables_number 1
_symmetry_space_group_name_Hall 'P 1'
_cell_length_a 6.3781
_cell_length_b 6.7629
_cell_length_c 6.6097
_cell_angle_alpha 90.00
_cell_angle_beta 90.00
_cell_angle_gamma 90.00
loop_
_atom_site_label
_atom_site_type_symbol
_atom_site_fract_x
_atom_site_fract_y
_atom_site_fract_z
Nb1 Nb 0.0594 0.6170 0.2564
S1 S 0.5964 0.1124 0.0000
S2 S 0.0964 0.8876 0.5000
Nb2 Nb 0.5594 0.3830 0.2436
S3 S 0.0683 0.8867 0.0000
S4 S 0.6850 0.7160 0.2611
Nb3 Nb 0.4284 0.7678 0.0000
S5 S 0.1850 0.2840 0.2389
S6 S 0.5683 0.1133 0.5000
S7 S 0.6850 0.7160 0.7389
Nb4 Nb 0.5594 0.3830 0.7564
S8 S 0.1850 0.2840 0.7611
Cr1 Cr 0.4335 0.7774 0.5000
Cr2 Cr 0.9335 0.2226 0.0000
Nb5 Nb 0.9284 0.2322 0.5000
Nb6 Nb 0.0594 0.6170 0.7436
# raw formation energy: -0.65 eV/atom
# M_tot: 4.640 μB/cell
# VASP energy: -7.69 eV/atom
# D(E_F): 0.699 states/eV per atom
# space group: Pmn2_1
# theoretical density: 5.3 g cm⁻³

Record 2
# NbCrS2 PBE-GGA optimized geometry
data_NbCrS2
_symmetry_space_group_name_H-M 'P 1'
_symmetry_Int_Tables_number 1
_symmetry_space_group_name_Hall 'P 1'
_cell_length_a 4.3461
_cell_length_b 4.3461
_cell_length_c 4.3461
_cell_angle_alpha 60.00
_cell_angle_beta 60.00
_cell_angle_gamma 60.00
loop_
_atom_site_label
_atom_site_type_symbol
_atom_site_fract_x
_atom_site_fract_y
_atom_site_fract_z
Cr1 Cr 0.0000 0.0000 0.0000
S1 S 0.7500 0.7500 0.7500
Nb1 Nb 0.5000 0.5000 0.5000
S2 S 0.2500 0.2500 0.2500
# raw formation energy: -0.44 eV/atom
# M_tot: 3.000 μB/cell
# VASP energy: -7.42 eV/atom
# D(E_F): 0.064 states/eV per atom
# space group: Fm-3m
# theoretical density: 6.0 g cm⁻³

Record 3
# NbCrS3 PBE-GGA optimized geometry
data_NbCrS3
_symmetry_space_group_name_H-M 'P 1'
_symmetry_Int_Tables_number 1
_symmetry_space_group_name_Hall 'P 1'
_cell_length_a 4.7935
_cell_length_b 4.7935
_cell_length_c 4.7935
_cell_angle_alpha 90.00
_cell_angle_beta 90.00
_cell_angle_gamma 90.00
loop_
_atom_site_label
_atom_site_type_symbol
_atom_site_fract_x
_atom_site_fract_y
_atom_site_fract_z
S1 S 0.5000 0.0000 0.0000
S2 S 0.0000 0.0000 0.5000
S3 S 0.0000 0.5000 0.0000
Nb1 Nb 0.0000 0.0000 0.0000
Cr1 Cr 0.5000 0.5000 0.5000
# raw formation energy: -0.05 eV/atom
# M_tot: 4.648 μB/cell
# VASP energy: -6.46 eV/atom
# D(E_F): 0.984 states/eV per atom
# space group: Pm-3m
# theoretical density: 3.6 g cm⁻³

Record 4
# Nb2CrS5 PBE-GGA optimized geometry
data_Nb2CrS5
_symmetry_space_group_name_H-M 'P 1'
_symmetry_Int_Tables_number 1
_symmetry_space_group_name_Hall 'P 1'
_cell_length_a 4.8362
_cell_length_b 6.5124
_cell_length_c 11.0309
_cell_angle_alpha 90.00
_cell_angle_beta 90.00
_cell_angle_gamma 111.80
loop_
_atom_site_label
_atom_site_type_symbol
_atom_site_fract_x
_atom_site_fract_y
_atom_site_fract_z
S1 S 0.6624 0.3249 0.9055
Nb1 Nb 0.8261 0.6521 0.0358
Nb2 Nb 0.1739 0.3479 0.9642
Nb3 Nb 0.1739 0.3479 0.5358
S2 S 0.9552 0.9103 0.8821
S3 S 0.0448 0.0897 0.1179
S4 S 0.2628 0.5256 0.7500
S5 S 0.3376 0.6751 0.4055
Cr1 Cr 0.8065 0.6130 0.7500
S6 S 0.0448 0.0897 0.3821
Nb4 Nb 0.8261 0.6521 0.4642
S7 S 0.7372 0.4744 0.2500
S8 S 0.9552 0.9103 0.6179
S9 S 0.6624 0.3249 0.5945
S10 S 0.3376 0.6751 0.0945
Cr2 Cr 0.1935 0.3870 0.2500
# raw formation energy: -0.76 eV/atom
# M_tot: 3.742 μB/cell
# VASP energy: -7.06 eV/atom
# D(E_F): 0.370 states/eV per atom
# space group: Cmcm
# theoretical density: 4.1 g cm⁻³

Record 5
# Nb3CrS PBE-GGA optimized geometry
data_Nb3CrS
_symmetry_space_group_name_H-M 'P 1'
_symmetry_Int_Tables_number 1
_symmetry_space_group_name_Hall 'P 1'
_cell_length_a 4.6317
_cell_length_b 4.6317
_cell_length_c 4.6317
_cell_angle_alpha 90.00
_cell_angle_beta 90.00
_cell_angle_gamma 90.00
loop_
_atom_site_label
_atom_site_type_symbol
_atom_site_fract_x
_atom_site_fract_y
_atom_site_fract_z
Nb1 Nb 0.0000 0.5000 0.0000
Cr1 Cr 0.0000 0.0000 0.0000
S1 S 0.5000 0.5000 0.5000
Nb2 Nb 0.5000 0.0000 0.0000
Nb3 Nb 0.0000 0.0000 0.5000
# raw formation energy: 0.98 eV/atom
# M_tot: 0.000 μB/cell
# VASP energy: -7.82 eV/atom
# D(E_F): 1.044 states/eV per atom
# space group: Pm-3m
# theoretical density: 6.1 g cm⁻³

Record 6
# Nb2CrSe2S4 PBE-GGA optimized geometry
data_Nb2CrSe2S4
_symmetry_space_group_name_H-M 'P 1'
_symmetry_Int_Tables_number 1
_symmetry_space_group_name_Hall 'P 1'
_cell_length_a 3.3169
_cell_length_b 3.3169
_cell_length_c 20.7209
_cell_angle_alpha 90.00
_cell_angle_beta 90.00
_cell_angle_gamma 120.00
loop_
_atom_site_label
_atom_site_type_symbol
_atom_site_fract_x
_atom_site_fract_y
_atom_site_fract_z
Cr1 Cr 0.0000 0.0000 0.3276
Se1 Se 0.6667 0.3333 0.4020
S1 S 0.6667 0.3333 0.0553
Se2 Se 0.6667 0.3333 0.2531
S2 S 0.0000 0.0000 0.5761
Nb1 Nb 0.0000 0.0000 0.9790
Nb2 Nb 0.6667 0.3333 0.6524
S3 S 0.6667 0.3333 0.9029
S4 S 0.0000 0.0000 0.7286
# raw formation energy: -0.84 eV/atom
# M_tot: 0.000 μB/cell
# VASP energy: -6.76 eV/atom
# D(E_F): 0.760 states/eV per atom
# space group: P3m1
# theoretical density: 4.4 g cm⁻³